# ReTc2BiW | Alexandria via LeMat-Bulk | GGA-PBEsol | optimized geometry
# E_tot, eV/atom: -7.578
# ΔE_f, eV per atom: 3.2139
# Size of the total moment, μB/f.u.: 0.09
data_ReTc2BiW
_space_group_name_H-M_alt 'P 4/m m m'
_space_group_IT_number 123
_space_group_name_Hall '-P 4 2'
_cell_length_a 4.7383
_cell_length_b 4.7383
_cell_length_c 4.8117
_cell_angle_alpha 90.00
_cell_angle_beta 90.00
_cell_angle_gamma 90.00
loop_
_atom_site_label
_atom_site_fract_x
_atom_site_fract_y
_atom_site_fract_z
_atom_site_occupancy
Re1 0.0000 0.0000 0.0000 1
Tc1 0.0000 0.5000 0.5000 1
Bi1 0.0000 0.0000 0.5000 1
W1 0.5000 0.5000 0.0000 1